A plane-wave DFT calculation with PBE was carried out for Hf2MgV after structural relaxation.

a b c (Å): 3.2400 3.2400 7.7249
angles (deg): 90.00 90.00 90.00
Last column: nearest neighbours and their distance in Å.
Positions (direct):
Hf 0.0000 0.0000 0.2121  4 V 2.82
Hf 0.0000 0.0000 0.7879  4 V 2.82
Mg 0.5000 0.5000 0.5000  8 Hf 3.19, 4 Mg 3.24
V 0.5000 0.5000 0.0000  8 Hf 2.82

Properties
The value obtained for the volume is 20.27 Å³/atom. The value obtained for the mass density is 8.9 Mg/m³. Its crystal system is tetragonal. As for the space group: P4/mmm, No. 123. The final energy comes out at -7.537 eV per atom. As for the density of states at the Fermi level: 4.40 states/eV/f.u. The formation energy is 0.5 eV per formula unit.